DFT (PBE) results for a relaxed structure of CuSb2TeBr.

Structure (CIF):
```
data_CuSb2TeBr
_space_group_name_H-M_alt 'P 1'
_space_group_IT_number 1
_space_group_name_Hall 'P 1'
_cell_length_a 5.476
_cell_length_b 5.476
_cell_length_c 5.751
_cell_angle_alpha 90.00
_cell_angle_beta 90.00
_cell_angle_gamma 90.00
loop_
_atom_site_label
_atom_site_type_symbol
_atom_site_fract_x
_atom_site_fract_y
_atom_site_fract_z
Cu1 Cu 0.000 0.000 0.000
Sb1 Sb 0.000 0.500 0.500
Sb2 Sb 0.500 0.000 0.500
Te1 Te 0.500 0.500 0.000
Br1 Br 0.500 0.500 0.500
```

Summary:
**Excess energy over the best structure of this formula in the dataset**: 0.850 eV/atom
**Total DFT energy (no corrections)**: -2.2051 eV per atom
**Raw formation energy**: 1.226 eV per atom
**Crystal system**: tetragonal
**D(E_F)**: 1.516 states/eV/atom
**Theoretical density**: 4.96 g cm⁻³

DFT (PBE) results for a relaxed structure of Ga13Au2.

Structure (CIF):
```
data_Ga13Au2
_space_group_name_H-M_alt 'P 1'
_space_group_IT_number 1
_space_group_name_Hall 'P 1'
_cell_length_a 5.276
_cell_length_b 6.524
_cell_length_c 8.788
_cell_angle_alpha 70.18
_cell_angle_beta 86.08
_cell_angle_gamma 87.81
loop_
_atom_site_label
_atom_site_type_symbol
_atom_site_fract_x
_atom_site_fract_y
_atom_site_fract_z
Ga1 Ga 0.000 0.000 0.000
Ga2 Ga 0.052 0.465 0.691
Ga3 Ga 0.213 0.228 0.189
Ga4 Ga 0.234 0.019 0.614
Ga5 Ga 0.273 0.645 0.921
Ga6 Ga 0.447 0.203 0.880
Ga7 Ga 0.452 0.399 0.374
Ga8 Ga 0.548 0.601 0.626
Ga9 Ga 0.553 0.797 0.120
Ga10 Ga 0.727 0.355 0.079
Ga11 Ga 0.766 0.981 0.386
Ga12 Ga 0.787 0.772 0.811
Ga13 Ga 0.948 0.535 0.309
Au1 Au 0.249 0.806 0.385
Au2 Au 0.751 0.194 0.615
```

Summary:
**Total DFT energy (no corrections)**: -3.1016 eV per atom
**Calculated formation energy**: -0.041 eV per atom
**Crystal system**: triclinic
**D(E_F)**: 0.262 states/eV/atom
**Theoretical density**: 7.61 g cm⁻³

DFT (PBE) results for a relaxed structure of BaDy4.

Structure (CIF):
```
data_BaDy4
_space_group_name_H-M_alt 'P 1'
_space_group_IT_number 1
_space_group_name_Hall 'P 1'
_cell_length_a 5.695
_cell_length_b 5.695
_cell_length_c 5.695
_cell_angle_alpha 90.00
_cell_angle_beta 90.00
_cell_angle_gamma 90.00
loop_
_atom_site_label
_atom_site_type_symbol
_atom_site_fract_x
_atom_site_fract_y
_atom_site_fract_z
Ba1 Ba 0.000 0.000 0.000
Dy1 Dy 0.000 0.000 0.500
Dy2 Dy 0.000 0.500 0.000
Dy3 Dy 0.500 0.000 0.000
Dy4 Dy 0.500 0.500 0.500
```

Summary:
**Total DFT energy (no corrections)**: -3.1275 eV per atom
**Calculated formation energy**: 0.939 eV per atom
**Crystal system**: cubic
**D(E_F)**: 1.337 states/eV/atom
**Theoretical density**: 7.08 g cm⁻³

DFT (PBE) results for a relaxed structure of HoZrTa.

Structure (CIF):
```
data_HoZrTa
_space_group_name_H-M_alt 'P 1'
_space_group_IT_number 1
_space_group_name_Hall 'P 1'
_cell_length_a 3.408
_cell_length_b 3.408
_cell_length_c 12.285
_cell_angle_alpha 90.00
_cell_angle_beta 90.00
_cell_angle_gamma 90.00
loop_
_atom_site_label
_atom_site_type_symbol
_atom_site_fract_x
_atom_site_fract_y
_atom_site_fract_z
Ho1 Ho 0.250 0.250 0.105
Ho2 Ho 0.750 0.750 0.895
Zr1 Zr 0.250 0.250 0.707
Zr2 Zr 0.750 0.750 0.293
Ta1 Ta 0.250 0.250 0.441
Ta2 Ta 0.750 0.750 0.559
```

Summary:
**Total DFT energy (no corrections)**: -8.2170 eV per atom
**Calculated formation energy**: 0.109 eV per atom
**Crystal system**: tetragonal
**D(E_F)**: 1.824 states/eV/atom
**Theoretical density**: 10.18 g cm⁻³

DFT (PBE) results for a relaxed structure of In2GaHBr.

Structure (CIF):
```
data_In2GaHBr
_space_group_name_H-M_alt 'P 1'
_space_group_IT_number 1
_space_group_name_Hall 'P 1'
_cell_length_a 5.618
_cell_length_b 5.618
_cell_length_c 3.641
_cell_angle_alpha 90.00
_cell_angle_beta 90.00
_cell_angle_gamma 90.00
loop_
_atom_site_label
_atom_site_type_symbol
_atom_site_fract_x
_atom_site_fract_y
_atom_site_fract_z
In1 In 0.000 0.500 0.000
In2 In 0.500 0.000 0.000
Ga1 Ga 0.000 0.000 0.000
H1 H 0.000 0.000 0.500
Br1 Br 0.500 0.500 0.500
```

Summary:
**Total DFT energy (no corrections)**: -2.7787 eV per atom
**Crystal system**: tetragonal
**D(E_F)**: 0.198 states/eV/atom
**Theoretical density**: 5.49 g cm⁻³

DFT (PBE) results for a relaxed structure of Th6Ru3SeS2.

Structure (CIF):
```
data_Th6Ru3SeS2
_space_group_name_H-M_alt 'P 1'
_space_group_IT_number 1
_space_group_name_Hall 'P 1'
_cell_length_a 9.549
_cell_length_b 9.549
_cell_length_c 8.630
_cell_angle_alpha 107.72
_cell_angle_beta 107.72
_cell_angle_gamma 24.55
loop_
_atom_site_label
_atom_site_type_symbol
_atom_site_fract_x
_atom_site_fract_y
_atom_site_fract_z
Th1 Th 0.006 0.006 0.229
Th2 Th 0.325 0.325 0.433
Th3 Th 0.338 0.338 0.903
Th4 Th 0.662 0.662 0.097
Th5 Th 0.675 0.675 0.567
Th6 Th 0.994 0.994 0.771
Ru1 Ru 0.167 0.167 0.330
Ru2 Ru 0.500 0.500 0.000
Ru3 Ru 0.833 0.833 0.670
Se1 Se 0.500 0.500 0.500
S1 S 0.167 0.167 0.832
S2 S 0.833 0.833 0.168
```

Summary:
**Total DFT energy (no corrections)**: -8.1066 eV per atom
**Raw formation energy**: -1.099 eV per atom
**Crystal system**: monoclinic
**D(E_F)**: 0.380 states/eV/atom
**Theoretical density**: 9.83 g cm⁻³

DFT (PBE) results for a relaxed structure of BiAsP.

Structure (CIF):
```
data_BiAsP
_space_group_name_H-M_alt 'P 1'
_space_group_IT_number 1
_space_group_name_Hall 'P 1'
_cell_length_a 3.508
_cell_length_b 3.508
_cell_length_c 6.635
_cell_angle_alpha 90.00
_cell_angle_beta 90.00
_cell_angle_gamma 120.00
loop_
_atom_site_label
_atom_site_type_symbol
_atom_site_fract_x
_atom_site_fract_y
_atom_site_fract_z
Bi1 Bi 0.000 0.000 0.000
As1 As 0.667 0.333 0.417
P1 P 0.333 0.667 0.618
```

Summary:
**Excess energy over the best structure of this formula in the dataset**: 0.000 eV/atom
**Total DFT energy (no corrections)**: -4.4997 eV per atom
**Calculated formation energy**: 0.147 eV per atom
**Crystal system**: trigonal
**D(E_F)**: 0.416 states/eV/atom
**Theoretical density**: 7.40 g cm⁻³

DFT (PBE) results for a relaxed structure of RbAl7Zn12.

Structure (CIF):
```
data_RbAl7Zn12
_space_group_name_H-M_alt 'P 1'
_space_group_IT_number 1
_space_group_name_Hall 'P 1'
_cell_length_a 8.224
_cell_length_b 8.224
_cell_length_c 8.224
_cell_angle_alpha 113.15
_cell_angle_beta 113.15
_cell_angle_gamma 113.15
loop_
_atom_site_label
_atom_site_type_symbol
_atom_site_fract_x
_atom_site_fract_y
_atom_site_fract_z
Rb1 Rb 0.000 0.000 0.000
Al1 Al 0.201 0.201 0.547
Al2 Al 0.201 0.547 0.201
Al3 Al 0.453 0.799 0.799
Al4 Al 0.500 0.500 0.500
Al5 Al 0.547 0.201 0.201
Al6 Al 0.799 0.453 0.799
Al7 Al 0.799 0.799 0.453
Zn1 Zn 0.000 0.262 0.738
Zn2 Zn 0.000 0.738 0.262
Zn3 Zn 0.056 0.397 0.397
Zn4 Zn 0.262 0.000 0.738
Zn5 Zn 0.262 0.738 0.000
Zn6 Zn 0.397 0.056 0.397
Zn7 Zn 0.397 0.397 0.056
Zn8 Zn 0.603 0.603 0.944
Zn9 Zn 0.603 0.944 0.603
Zn10 Zn 0.738 0.000 0.262
Zn11 Zn 0.738 0.262 0.000
Zn12 Zn 0.944 0.603 0.603
```

Summary:
**Total DFT energy (no corrections)**: -1.9866 eV per atom
**Calculated formation energy**: 0.136 eV per atom
**Crystal system**: trigonal
**D(E_F)**: 0.526 states/eV/atom
**Theoretical density**: 4.91 g cm⁻³

DFT (PBE) results for a relaxed structure of SbMoS.

Structure (CIF):
```
data_SbMoS
_space_group_name_H-M_alt 'P 1'
_space_group_IT_number 1
_space_group_name_Hall 'P 1'
_cell_length_a 6.463
_cell_length_b 6.621
_cell_length_c 6.756
_cell_angle_alpha 98.91
_cell_angle_beta 100.27
_cell_angle_gamma 111.93
loop_
_atom_site_label
_atom_site_type_symbol
_atom_site_fract_x
_atom_site_fract_y
_atom_site_fract_z
Sb1 Sb 0.000 0.000 0.000
Sb2 Sb 0.027 0.487 0.214
Sb3 Sb 0.449 0.425 0.000
Sb4 Sb 0.842 0.836 0.450
Mo1 Mo 0.243 0.717 0.948
Mo2 Mo 0.263 0.974 0.360
Mo3 Mo 0.606 0.660 0.726
Mo4 Mo 0.638 0.366 0.372
S1 S 0.299 0.350 0.463
S2 S 0.388 0.879 0.681
S3 S 0.584 0.988 0.237
S4 S 0.881 0.466 0.711
```

Summary:
**Excess energy over the best structure of this formula in the dataset**: 0.115 eV/atom
**Total DFT energy (no corrections)**: -6.5364 eV per atom
**Raw formation energy**: -0.176 eV per atom
**Crystal system**: triclinic
**D(E_F)**: 0.636 states/eV/atom
**Theoretical density**: 6.48 g cm⁻³

DFT (PBE) results for a relaxed structure of HfZn.

Structure (CIF):
```
data_HfZn
_space_group_name_H-M_alt 'P 1'
_space_group_IT_number 1
_space_group_name_Hall 'P 1'
_cell_length_a 6.193
_cell_length_b 6.193
_cell_length_c 6.193
_cell_angle_alpha 98.14
_cell_angle_beta 98.14
_cell_angle_gamma 135.78
loop_
_atom_site_label
_atom_site_type_symbol
_atom_site_fract_x
_atom_site_fract_y
_atom_site_fract_z
Hf1 Hf 0.017 0.309 0.326
Hf2 Hf 0.309 0.983 0.292
Hf3 Hf 0.691 0.017 0.708
Hf4 Hf 0.983 0.691 0.674
Zn1 Zn 0.341 0.647 0.987
Zn2 Zn 0.353 0.341 0.694
Zn3 Zn 0.647 0.659 0.306
Zn4 Zn 0.659 0.353 0.013
```

Summary:
**Total DFT energy (no corrections)**: -5.5663 eV per atom
**Calculated formation energy**: 0.047 eV per atom
**Crystal system**: tetragonal
**D(E_F)**: 0.722 states/eV/atom
**Theoretical density**: 10.56 g cm⁻³

DFT (PBE) results for a relaxed structure of MgCrW2.

Structure (CIF):
```
data_MgCrW2
_space_group_name_H-M_alt 'P 1'
_space_group_IT_number 1
_space_group_name_Hall 'P 1'
_cell_length_a 2.621
_cell_length_b 4.354
_cell_length_c 5.468
_cell_angle_alpha 90.00
_cell_angle_beta 90.00
_cell_angle_gamma 90.00
loop_
_atom_site_label
_atom_site_type_symbol
_atom_site_fract_x
_atom_site_fract_y
_atom_site_fract_z
Mg1 Mg 0.000 0.000 0.000
Cr1 Cr 0.500 0.500 0.762
W1 W 0.000 0.000 0.509
W2 W 0.500 0.500 0.257
```

Summary:
**Excess energy over the best structure of this formula in the dataset**: 0.242 eV/atom
**Total DFT energy (no corrections)**: -8.7426 eV per atom
**Calculated formation energy**: 0.538 eV per atom
**Crystal system**: orthorhombic
**D(E_F)**: 0.775 states/eV/atom
**Theoretical density**: 11.82 g cm⁻³

DFT (PBE) results for a relaxed structure of La4SmHo3.

Structure (CIF):
```
data_La4SmHo3
_space_group_name_H-M_alt 'P 1'
_space_group_IT_number 1
_space_group_name_Hall 'P 1'
_cell_length_a 5.161
_cell_length_b 10.322
_cell_length_c 10.304
_cell_angle_alpha 90.00
_cell_angle_beta 90.00
_cell_angle_gamma 90.00
loop_
_atom_site_label
_atom_site_type_symbol
_atom_site_fract_x
_atom_site_fract_y
_atom_site_fract_z
La1 La 0.250 0.000 0.128
La2 La 0.250 0.250 0.871
La3 La 0.250 0.500 0.128
La4 La 0.250 0.750 0.872
La5 La 0.750 0.000 0.872
La6 La 0.750 0.250 0.128
La7 La 0.750 0.500 0.872
La8 La 0.750 0.750 0.129
Sm1 Sm 0.250 0.250 0.384
Sm2 Sm 0.750 0.750 0.616
Ho1 Ho 0.250 0.000 0.617
Ho2 Ho 0.250 0.500 0.617
Ho3 Ho 0.250 0.750 0.382
Ho4 Ho 0.750 0.000 0.383
Ho5 Ho 0.750 0.250 0.618
Ho6 Ho 0.750 0.500 0.383
```

Summary:
**Excess energy over the best structure of this formula in the dataset**: 0.000 eV/atom
**Total DFT energy (no corrections)**: -4.7426 eV per atom
**Calculated formation energy**: 0.028 eV per atom
**Crystal system**: orthorhombic
**D(E_F)**: 1.718 states/eV/atom
**Theoretical density**: 7.27 g cm⁻³